This record from Alexandria via LeMat-Bulk describes an optimized crystal structure of CaBi2Pt. The functional is PBE.

Geometry as extended XYZ:
```
8
Lattice="-4.3627 4.3627 3.0127 4.3627 -4.3627 3.0127 4.3627 4.3627 -3.0127" Properties=species:S:1:pos:R:3 pbc="T T T"
Ca 0.0000 0.0000 0.0000
Ca 0.0000 4.3627 1.5063
Bi 2.1814 -1.5571 2.2595
Bi 2.8056 2.1814 0.7532
Bi 2.1814 5.9198 -0.7532
Bi 1.5571 2.1814 3.7659
Pt 4.3627 0.0000 1.5063
Pt 0.0000 0.0000 3.0127
```

Calculated values
Electronic total energy in eV/atom: -4.41
Theoretical density in g/cm³: 9.5
V in Å³ per cell: 229.4
SG: I-42d (122)
Size of the total moment in μB/cell: 0.0